1.
First-principles (PBE) data for a relaxed AcThZrN3 crystal, as listed in Alexandria via LeMat-Bulk.

a = 3.6022 Å, b = 7.5750 Å, c = 8.6356 Å
α = 86.19°, β = 90.00°, γ = 90.00°
Fractional positions:
Ac: 0.7500 0.8812 0.8456
Ac: 0.2500 0.1188 0.1544
Th: 0.2500 0.5923 0.1620
Th: 0.7500 0.4077 0.8380
Zr: 0.2500 0.1582 0.5537
Zr: 0.7500 0.8418 0.4463
N: 0.2500 0.8754 0.5798
N: 0.7500 0.8136 0.1951
N: 0.7500 0.3802 0.1026
N: 0.7500 0.1246 0.4202
N: 0.2500 0.6198 0.8974
N: 0.2500 0.1864 0.8049

Summary:
SG: No. 11
Raw formation energy, meV per atom: -1174
Theoretical density, kg/m3: 8366

=====

2.
First-principles (PBE) data for a relaxed CaSnAs2Rh5 crystal, as listed in Alexandria via LeMat-Bulk.

a = 4.1090 Å, b = 4.1090 Å, c = 10.6131 Å
α = 90.00°, β = 90.00°, γ = 90.00°
Fractional positions:
Ca: 0.0000 0.0000 0.5000
Sn: 0.0000 0.0000 0.0000
As: 0.5000 0.5000 0.2784
As: 0.5000 0.5000 0.7216
Rh: 0.0000 0.5000 0.1608
Rh: 0.5000 0.0000 0.1608
Rh: 0.0000 0.5000 0.8392
Rh: 0.5000 0.0000 0.8392
Rh: 0.5000 0.5000 0.5000

Summary:
SG: No. 123
E_form, eV per atom: -0.45
Theoretical density, kg/m3: 7628

=====

> Look up the theoretical density of the first one.

8366 kg/m3